No. 1
Crystalline Ho3SI7 at its relaxed geometry, computed with GGA-PBE.

symmetry = No. 156
formation energy (no corrections) = -1.4799 eV per atom
total magnetization = 0.0 μB per formula unit
volume = 492 Å³/cell

Cell lengths 7.7066, 8.5838, 8.5838 Å; angles 120.00, 90.00, 90.00 degrees
Last column: nearest neighbours and their distance in Å.
Fractional positions:
1 Ho 0.7702 0.4899 0.5101  1 S 2.63
2 Ho 0.7702 0.4899 0.9797  1 S 2.63
3 Ho 0.7702 0.0203 0.5101  1 S 2.63
4 S 0.6105 0.3333 0.6667  3 Ho 2.63
5 I 0.0103 0.1671 0.8329  2 Ho 3.03
6 I 0.0103 0.1671 0.3341  2 Ho 3.03
7 I 0.0054 0.6667 0.3333  3 Ho 3.19
8 I 0.5526 0.8310 0.1690  2 Ho 3.04
9 I 0.5526 0.3381 0.1690  2 Ho 3.04
10 I 0.5526 0.8310 0.6619  2 Ho 3.04
11 I 0.0103 0.6659 0.8329  2 Ho 3.03

***

No. 2
Crystalline Ba4ReTe at its relaxed geometry, computed with GGA-PBE.

symmetry = No. 216
formation energy (no corrections) = 0.9166 eV per atom
total magnetization = 1.5 μB per formula unit
volume = 244 Å³/cell

Cell lengths 7.0107, 7.0107, 7.0107 Å; angles 60.00, 60.00, 60.00 degrees
Last column: nearest neighbours and their distance in Å.
Fractional positions:
1 Ba 0.8734 0.3755 0.3755  6 Ba 3.49-3.52
2 Ba 0.3755 0.3755 0.8734  6 Ba 3.49-3.52
3 Ba 0.3755 0.8734 0.3755  6 Ba 3.49-3.52
4 Ba 0.3755 0.3755 0.3755  6 Ba 3.49-3.52
5 Re 0.7500 0.7500 0.7500  12 Ba 4.11, 4 Te 4.29
6 Te 0.0000 0.0000 0.0000  12 Ba 4.11, 4 Re 4.29

***

No. 3
Crystalline La2EuGe at its relaxed geometry, computed with GGA-PBE.

energy above the lowest structure with this stoichiometry = 0.000 eV per atom
formation energy from the elements = -0.360 eV/atom
symmetry = No. 123
total magnetization = 8.6 μB per formula unit
volume = 130 Å³/cell

Cell lengths 4.0042, 4.0042, 8.1132 Å; angles 90.00, 90.00, 90.00 degrees
Last column: nearest neighbours and their distance in Å.
Fractional positions:
1 Eu 0.5000 0.5000 0.5000  8 La 3.80, 4 Eu 4.00, 2 Ge 4.06
2 Ge 0.5000 0.5000 0.0000  8 La 3.21
3 La 0.0000 0.0000 0.8126  1 La 3.04, 4 Ge 3.21
4 La 0.0000 0.0000 0.1874  1 La 3.04, 4 Ge 3.21